1.
LaHoMg: optimized geometry, PBE.

```
LaHoMg
1.0
-1.618 1.342 2.696
0.629 -4.785 2.758
3.891 3.952 0.368
La Mg Ho
1 1 1
Direct
0.637 0.667 0.333 La
0.300 0.333 0.667 Mg
0.063 0.000 0.000 Ho
```

## Properties
- energy relative to the lowest polymorph listed for this composition (eV/atom) = 0.087
- DFT total energy (eV/atom) = -3.658
- energy of formation from the pure elements (kJ/mol of atoms) = 4.0
- density of states at the Fermi level (states/eV/cell) = 4.1
- total magnetic moment (μB/f.u.) = 0.00

=====

2.
LaHo14Mg: optimized geometry, PBE.

```
LaHo14Mg
1.0
6.602 1.787 0.000
-0.126 6.839 0.000
0.000 0.000 10.943
Ho Mg La
14 1 1
Direct
0.398 0.155 0.242 Ho
0.103 0.333 0.000 Ho
0.667 0.897 0.000 Ho
0.592 0.408 0.000 Ho
0.398 0.155 0.758 Ho
0.845 0.602 0.758 Ho
0.845 0.602 0.242 Ho
0.908 0.092 0.237 Ho
0.338 0.662 0.275 Ho
0.132 0.398 0.500 Ho
0.908 0.092 0.763 Ho
0.338 0.662 0.725 Ho
0.602 0.868 0.500 Ho
0.181 0.819 0.000 Ho
0.091 0.909 0.500 Mg
0.654 0.346 0.500 La
```

## Properties
- DFT total energy (eV/atom) = -4.348
- energy of formation from the pure elements (kJ/mol of atoms) = 6.3
- density of states at the Fermi level (states/eV/cell) = 23.9
- total magnetic moment (μB/f.u.) = 0.00

=====

3.
La5HoMg2: optimized geometry, PBE.

```
La5HoMg2
1.0
0.234 4.199 -5.633
6.347 -1.833 2.404
-3.321 -5.898 -1.901
La Mg Ho
5 2 1
Direct
0.277 0.277 0.000 La
0.778 0.778 0.500 La
0.278 0.278 0.500 La
0.278 0.778 0.000 La
0.778 0.278 0.000 La
0.278 0.778 0.500 Mg
0.778 0.278 0.500 Mg
0.779 0.778 0.000 Ho
```

## Properties
- DFT total energy (eV/atom) = -4.048
- energy of formation from the pure elements (kJ/mol of atoms) = 0.2
- density of states at the Fermi level (states/eV/cell) = 10.6
- total magnetic moment (μB/f.u.) = 0.00